Entry 1:
A relaxed ErZnGa2Ni2 crystal. Source: Alexandria via LeMat-Bulk, functional PBE-GGA.

POSCAR file:
```
ErZnGa2Ni2
1.0
4.376 0.000 0.000
0.000 4.376 0.000
0.000 0.000 5.408
Er Zn Ga Ni
1 1 2 2
direct
0.000 0.000 0.000 Er
0.000 0.000 0.500 Zn
0.500 0.500 0.245 Ga
0.500 0.500 0.755 Ga
0.000 0.500 0.500 Ni
0.500 0.000 0.500 Ni
```

**Space group**: P4/mmm (123)
**VASP energy**: -24.52 eV/cell
**ΔH_f (0 K)**: -0.18 eV per atom
**V**: 104 Å³/f.u.

=====

Entry 2:
A relaxed Er2Zn3GaNi12 crystal. Source: Alexandria via LeMat-Bulk, functional PBE-GGA.

POSCAR file:
```
Er2Zn3GaNi12
1.0
2.573 1.485 11.193
-2.573 1.485 11.193
0.000 -2.971 11.193
Er Zn Ga Ni
2 3 1 12
direct
0.140 0.140 0.140 Er
0.860 0.860 0.860 Er
0.000 0.500 0.500 Zn
0.500 0.000 0.500 Zn
0.500 0.500 0.000 Zn
0.500 0.500 0.500 Ga
0.101 0.101 0.631 Ni
0.101 0.631 0.101 Ni
0.112 0.610 0.610 Ni
0.369 0.899 0.899 Ni
0.390 0.390 0.888 Ni
0.390 0.888 0.390 Ni
0.610 0.112 0.610 Ni
0.610 0.610 0.112 Ni
0.631 0.101 0.101 Ni
0.888 0.390 0.390 Ni
0.899 0.369 0.899 Ni
0.899 0.899 0.369 Ni
```

**Space group**: R-3m (166)
**VASP energy**: -85.85 eV/cell
**ΔH_f (0 K)**: -0.03 eV per atom
**V**: 257 Å³/f.u.

=====

Entry 3:
A relaxed ErZnGa2Ni5 crystal. Source: Alexandria via LeMat-Bulk, functional PBE-GGA.

POSCAR file:
```
ErZnGa2Ni5
1.0
3.786 0.000 0.000
0.000 3.786 0.000
0.000 0.000 9.158
Er Zn Ga Ni
1 1 2 5
direct
0.000 0.000 0.000 Er
0.000 0.000 0.500 Zn
0.500 0.500 0.367 Ga
0.500 0.500 0.633 Ga
0.000 0.500 0.215 Ni
0.000 0.500 0.785 Ni
0.500 0.000 0.215 Ni
0.500 0.000 0.785 Ni
0.500 0.500 0.000 Ni
```

**Space group**: P4/mmm (123)
**VASP energy**: -42.06 eV/cell
**ΔH_f (0 K)**: -0.14 eV per atom
**V**: 131 Å³/f.u.

=====

Entry 4:
A relaxed ErNpGa4 crystal. Source: Alexandria via LeMat-Bulk, functional PBE-GGA.

POSCAR file:
```
ErNpGa4
1.0
0.000 3.892 3.892
3.892 0.000 3.892
3.892 3.892 0.000
Er Np Ga
1 1 4
direct
0.000 0.000 0.000 Er
0.250 0.250 0.250 Np
0.126 0.625 0.625 Ga
0.625 0.126 0.625 Ga
0.625 0.625 0.126 Ga
0.625 0.625 0.625 Ga
```

**Space group**: F-43m (216)
**VASP energy**: -31.24 eV/cell
**ΔH_f (0 K)**: -0.27 eV per atom
**V**: 118 Å³/f.u.

=====

Entry 5:
A relaxed ErNpGa2 crystal. Source: Alexandria via LeMat-Bulk, functional PBE-GGA.

POSCAR file:
```
ErNpGa2
1.0
3.437 0.000 0.000
-1.718 2.976 0.000
0.000 0.000 27.624
Er Np Ga
3 3 6
direct
0.000 0.000 0.000 Er
0.333 0.667 0.667 Er
0.667 0.333 0.333 Er
0.000 0.000 0.500 Np
0.333 0.667 0.167 Np
0.667 0.333 0.833 Np
0.000 0.000 0.252 Ga
0.000 0.000 0.748 Ga
0.333 0.667 0.415 Ga
0.333 0.667 0.918 Ga
0.667 0.333 0.082 Ga
0.667 0.333 0.585 Ga
```

**Space group**: R-3m (166)
**VASP energy**: -71.33 eV/cell
**ΔH_f (0 K)**: -0.06 eV per atom
**V**: 94 Å³/f.u.

=====

Entry 6:
A relaxed ErNp4Ga12 crystal. Source: Alexandria via LeMat-Bulk, functional PBE-GGA.

POSCAR file:
```
ErNp4Ga12
1.0
-4.403 4.403 4.403
4.403 -4.403 4.403
4.403 4.403 -4.403
Er Np Ga
1 4 12
direct
0.000 0.000 0.000 Er
0.000 0.000 0.500 Np
0.000 0.500 0.000 Np
0.500 0.000 0.000 Np
0.500 0.500 0.500 Np
0.000 0.315 0.315 Ga
0.000 0.685 0.685 Ga
0.250 0.500 0.750 Ga
0.250 0.750 0.500 Ga
0.315 0.000 0.315 Ga
0.315 0.315 0.000 Ga
0.500 0.250 0.750 Ga
0.500 0.750 0.250 Ga
0.685 0.000 0.685 Ga
0.685 0.685 0.000 Ga
0.750 0.250 0.500 Ga
0.750 0.500 0.250 Ga
```

**Space group**: Im-3m (229)
**VASP energy**: -95.47 eV/cell
**ΔH_f (0 K)**: -0.17 eV per atom
**V**: 341 Å³/f.u.

=====

Entry 7:
A relaxed ErNp4Ga15 crystal. Source: Alexandria via LeMat-Bulk, functional PBE-GGA.

POSCAR file:
```
ErNp4Ga15
1.0
4.256 0.000 0.000
0.000 4.256 0.000
0.000 0.000 21.351
Er Np Ga
1 4 15
direct
0.000 0.000 0.000 Er
0.000 0.000 0.199 Np
0.000 0.000 0.400 Np
0.000 0.000 0.600 Np
0.000 0.000 0.801 Np
0.000 0.500 0.100 Ga
0.000 0.500 0.300 Ga
0.000 0.500 0.500 Ga
0.000 0.500 0.700 Ga
0.000 0.500 0.900 Ga
0.500 0.000 0.100 Ga
0.500 0.000 0.300 Ga
0.500 0.000 0.500 Ga
0.500 0.000 0.700 Ga
0.500 0.000 0.900 Ga
0.500 0.500 0.000 Ga
0.500 0.500 0.201 Ga
0.500 0.500 0.400 Ga
0.500 0.500 0.600 Ga
0.500 0.500 0.799 Ga
```

**Space group**: P4/mmm (123)
**VASP energy**: -107.11 eV/cell
**ΔH_f (0 K)**: -0.27 eV per atom
**V**: 387 Å³/f.u.

=====

Entry 8:
A relaxed ErNp2Ga9 crystal. Source: Alexandria via LeMat-Bulk, functional PBE-GGA.

POSCAR file:
```
ErNp2Ga9
1.0
2.729 1.576 9.017
-2.729 1.576 9.017
0.000 -3.151 9.017
Er Np Ga
1 2 9
direct
0.000 0.000 0.000 Er
0.144 0.144 0.144 Np
0.856 0.856 0.856 Np
0.078 0.588 0.588 Ga
0.335 0.335 0.335 Ga
0.412 0.412 0.922 Ga
0.412 0.922 0.412 Ga
0.500 0.500 0.500 Ga
0.588 0.078 0.588 Ga
0.588 0.588 0.078 Ga
0.665 0.665 0.665 Ga
0.922 0.412 0.412 Ga
```

**Space group**: R-3m (166)
**VASP energy**: -59.68 eV/cell
**ΔH_f (0 K)**: -0.17 eV per atom
**V**: 233 Å³/f.u.

=====

Entry 9:
A relaxed Er3NpGa12 crystal. Source: Alexandria via LeMat-Bulk, functional PBE-GGA.

POSCAR file:
```
Er3NpGa12
1.0
4.239 0.000 0.000
0.000 4.239 0.000
0.000 0.000 17.082
Er Np Ga
3 1 12
direct
0.000 0.000 0.000 Er
0.000 0.000 0.249 Er
0.000 0.000 0.751 Er
0.000 0.000 0.500 Np
0.000 0.500 0.125 Ga
0.000 0.500 0.375 Ga
0.000 0.500 0.625 Ga
0.000 0.500 0.875 Ga
0.500 0.000 0.125 Ga
0.500 0.000 0.375 Ga
0.500 0.000 0.625 Ga
0.500 0.000 0.875 Ga
0.500 0.500 0.000 Ga
0.500 0.500 0.251 Ga
0.500 0.500 0.500 Ga
0.500 0.500 0.749 Ga
```

**Space group**: P4/mmm (123)
**VASP energy**: -70.05 eV/cell
**ΔH_f (0 K)**: -0.44 eV per atom
**V**: 307 Å³/f.u.

=====

Entry 10:
A relaxed ErNpGa2 crystal. Source: Alexandria via LeMat-Bulk, functional PBE-GGA.

POSCAR file:
```
ErNpGa2
1.0
3.230 0.000 0.000
0.000 3.230 0.000
0.000 0.000 8.297
Er Np Ga
1 1 2
direct
0.000 0.000 0.000 Er
0.000 0.000 0.500 Np
0.500 0.500 0.247 Ga
0.500 0.500 0.753 Ga
```

**Space group**: P4/mmm (123)
**VASP energy**: -24.58 eV/cell
**ΔH_f (0 K)**: -0.26 eV per atom
**V**: 87 Å³/f.u.